Record 1
{"formula": "MnTl2In", "functional": "PBE", "state": "optimized geometry", "vol_a3_per_cell": 102.8, "total_energy_ev_per_cell": -15.47, "density_g_cm3": 9.34, "space_group": "Cm", "polymorph_energy_mev_per_atom": 58.9, "cell": [[7.368, 0.199, -0.430], [6.616, 3.248, -0.430], [1.807, 0.445, 4.435]], "species": ["In", "Tl", "Tl", "Mn"], "frac_coords": [[0.434, 0.434, 0.566], [0.250, 0.250, 0.250], [0.061, 0.061, 0.940], [0.755, 0.755, 0.745]]}


Record 2
{"formula": "MnTlIn2", "functional": "PBE", "state": "optimized geometry", "vol_a3_per_cell": 94.3, "total_energy_ev_per_cell": -16.34, "density_g_cm3": 8.61, "space_group": "P2/m", "polymorph_energy_mev_per_atom": 0.0, "cell": [[-2.597, 0.776, -1.742], [1.032, -1.905, -2.388], [-3.548, -8.780, 1.376]], "species": ["In", "Tl", "In", "Mn"], "frac_coords": [[0.000, 0.562, 0.447], [0.500, 0.750, 0.750], [0.000, 0.938, 0.053], [0.500, 0.250, 0.250]]}


Record 3
{"formula": "MnTlIn2", "functional": "PBE", "state": "optimized geometry", "vol_a3_per_cell": 94.2, "total_energy_ev_per_cell": -15.76, "density_g_cm3": 8.62, "space_group": "I-4m2", "polymorph_energy_mev_per_atom": 144.5, "cell": [[-1.555, -0.355, -5.450], [-5.152, -2.302, -0.637], [2.048, 4.199, 3.229]], "species": ["In", "In", "Mn", "Tl"], "frac_coords": [[0.000, 0.000, 0.000], [0.250, 0.750, 0.500], [0.500, 0.500, 0.000], [0.750, 0.250, 0.500]]}